Record 1
VASP calculation (PBEsol) on a relaxed HfIN crystal.

## Properties
Energy relative to the elements, uncorrected ... -1.53 eV per atom
Theoretical density ... 8.6 g/cm³

Cell: 10.7889 10.7889 10.7889 Å, 19.52 19.52 19.52°
With the nearest neighbours (Å) after each atom.
Fractional positions:
Hf: 0.2063 0.2063 0.2063  4 N 2.13-2.15
Hf: 0.7937 0.7937 0.7937  4 N 2.13-2.15
I: 0.3917 0.3917 0.3917  3 Hf 3.04, 3 N 3.33
I: 0.6083 0.6083 0.6083  3 Hf 3.04, 3 N 3.33
N: 0.1394 0.1394 0.1394  4 Hf 2.13-2.15
N: 0.8606 0.8606 0.8606  4 Hf 2.13-2.15

=====

Record 2
VASP calculation (PBEsol) on a relaxed HfIN2O crystal.

## Properties
Energy relative to the elements, uncorrected ... -0.09 eV per atom
Theoretical density ... 7.9 g/cm³

Cell: 4.3138 4.3138 3.9367 Å, 90.00 90.00 90.00°
With the nearest neighbours (Å) after each atom.
Fractional positions:
Hf: 0.0000 0.0000 0.0000  2 O 1.97, 4 N 2.16
I: 0.5000 0.5000 0.5000  8 N 2.92, 4 O 3.05
N: 0.0000 0.5000 0.0000  2 Hf 2.16
N: 0.5000 0.0000 0.0000  2 Hf 2.16
O: 0.0000 0.0000 0.5000  2 Hf 1.97

=====

Record 3
VASP calculation (PBEsol) on a relaxed HfPbIN2 crystal.

## Properties
Energy relative to the elements, uncorrected ... 0.22 eV per atom
Theoretical density ... 8.7 g/cm³

Cell: 4.2917 4.2917 5.6199 Å, 90.00 90.00 90.00°
With the nearest neighbours (Å) after each atom.
Fractional positions:
Hf: 0.0000 0.0000 0.0000  4 N 2.15
Pb: 0.5000 0.5000 0.5000  4 I 3.03
I: 0.0000 0.0000 0.5000  2 Hf 2.81, 4 Pb 3.03
N: 0.0000 0.5000 0.0000  2 Hf 2.15
N: 0.5000 0.0000 0.0000  2 Hf 2.15

=====

Record 4
VASP calculation (PBEsol) on a relaxed HfPdI2N crystal.

## Properties
Energy relative to the elements, uncorrected ... 0.75 eV per atom
Theoretical density ... 8.0 g/cm³

Cell: 5.6027 5.6027 3.6341 Å, 90.00 90.00 90.00°
With the nearest neighbours (Å) after each atom.
Fractional positions:
Hf: 0.0000 0.0000 0.0000  8 I 3.34, 2 Hf 3.63
Pd: 0.5000 0.5000 0.5000  2 N 1.82
I: 0.0000 0.5000 0.5000  2 Pd 2.80
I: 0.5000 0.0000 0.5000  2 Pd 2.80
N: 0.5000 0.5000 0.0000  2 Pd 1.82

=====

Record 5
VASP calculation (PBEsol) on a relaxed HfPdIN2 crystal.

## Properties
Energy relative to the elements, uncorrected ... 1.39 eV per atom
Theoretical density ... 8.9 g/cm³

Cell: 4.0758 4.0758 4.9574 Å, 90.00 90.00 90.00°
With the nearest neighbours (Å) after each atom.
Fractional positions:
Hf: 0.0000 0.0000 0.0000  4 I 2.88, 8 N 3.21
Pd: 0.5000 0.5000 0.5000  4 N 2.04
I: 0.5000 0.5000 0.0000  2 Pd 2.48
N: 0.0000 0.5000 0.5000  2 Pd 2.04
N: 0.5000 0.0000 0.5000  2 Pd 2.04

=====

Record 6
VASP calculation (PBEsol) on a relaxed HfSbI2N crystal.

## Properties
Energy relative to the elements, uncorrected ... 0.00 eV per atom
Theoretical density ... 7.1 g/cm³

Cell: 5.8104 5.8104 3.9317 Å, 90.00 90.00 90.00°
With the nearest neighbours (Å) after each atom.
Fractional positions:
Hf: 0.0000 0.0000 0.0000  2 N 1.97
Sb: 0.5000 0.5000 0.5000  8 I 3.51
I: 0.0000 0.5000 0.0000  2 Hf 2.91
I: 0.5000 0.0000 0.0000  2 Hf 2.91
N: 0.0000 0.0000 0.5000  2 Hf 1.97

=====

Record 7
VASP calculation (PBEsol) on a relaxed HfSeI2N crystal.

## Properties
Energy relative to the elements, uncorrected ... 0.48 eV per atom
Theoretical density ... 5.3 g/cm³

Cell: 5.7122 5.7122 5.0024 Å, 90.00 90.00 90.00°
With the nearest neighbours (Å) after each atom.
Fractional positions:
Hf: 0.0000 0.0000 0.0000  2 Se 2.50
Se: 0.0000 0.0000 0.5000  2 Hf 2.50
I: 0.0000 0.5000 0.0000  2 Hf 2.86
I: 0.5000 0.0000 0.0000  2 Hf 2.86
N: 0.5000 0.5000 0.5000  8 I 3.80, 4 Se 4.04

=====

Record 8
VASP calculation (PBEsol) on a relaxed HfTe2IN crystal.

## Properties
Energy relative to the elements, uncorrected ... 1.21 eV per atom
Theoretical density ... 7.5 g/cm³

Cell: 5.7311 5.7311 3.8616 Å, 90.00 90.00 90.00°
With the nearest neighbours (Å) after each atom.
Fractional positions:
Hf: 0.0000 0.0000 0.0000  8 Te 3.46, 2 Hf 3.86
Te: 0.0000 0.5000 0.5000  2 I 2.87
Te: 0.5000 0.0000 0.5000  2 I 2.87
I: 0.5000 0.5000 0.5000  2 N 1.93
N: 0.5000 0.5000 0.0000  2 I 1.93